## A
KSc2Mo: PBEsol geometry, meta-GGA SCAN.

Lattice parameters (Å, degrees): 3.059 4.622 17.003 90.00 90.00 90.00
Space group Imm2 (No. 44)
Unique sites:
K  0.000  0.000  0.000
Sc  0.000  0.000  0.318
Sc  0.000  0.500  0.194
Mo  0.000  0.500  0.689

Calculated values
The density of states at the Fermi level is 8.52 states/eV/cell.

---

## B
KSc2Mo: PBEsol geometry, meta-GGA SCAN.

Lattice parameters (Å, degrees): 7.031 7.031 7.031 90.00 90.00 90.00
Space group Fm-3m (No. 225)
Unique sites:
K  0.000  0.000  0.000
Sc  0.250  0.250  0.250
Mo  0.000  0.000  0.500

Calculated values
The density of states at the Fermi level is 12.79 states/eV/cell.

---

Most stable one: A, least stable one: B.

---

## A
K2ScMo: PBEsol geometry, meta-GGA SCAN.

Lattice parameters (Å, degrees): 3.248 4.902 12.816 90.00 90.00 90.00
Space group Cmmm (No. 65)
Unique sites:
K  0.000  0.000  0.231
Sc  0.000  0.500  0.500
Mo  0.000  0.500  0.000

Calculated values
The density of states at the Fermi level is 7.18 states/eV/cell.

---

## B
K2ScMo: PBEsol geometry, meta-GGA SCAN.

Lattice parameters (Å, degrees): 3.3268 3.3268 37.2107 90.00 90.00 120.00
Space group R3m (No. 160, hexagonal axes)
Unique sites:
K  0.0000  0.0000  0.0000
K  0.0000  0.0000  0.2229
Sc  0.0000  0.0000  0.7619
Mo  0.0000  0.0000  0.4803

Calculated values
The density of states at the Fermi level is 9.51 states/eV/cell.

---

Most stable one: B, least stable one: A.

---

## A
K2ScMo: PBEsol geometry, meta-GGA SCAN.

Lattice parameters (Å, degrees): 9.285 2.963 10.061 90.00 92.13 90.00
Space group Cm (No. 8)
Unique sites:
K  0.000  0.000  0.000
K  0.239  0.000  0.601
Sc  0.261  0.500  0.273
Mo  0.494  0.000  0.332

Calculated values
The density of states at the Fermi level is 5.64 states/eV/cell.

---

## B
K2ScMo: PBEsol geometry, meta-GGA SCAN.

Lattice parameters (Å, degrees): 4.160 4.160 6.300 90.00 90.00 90.00
Space group P4/mmm (No. 123)
Unique sites:
K  0.000  0.500  0.000
Sc  0.000  0.000  0.500
Mo  0.500  0.500  0.500

Calculated values
The density of states at the Fermi level is 3.53 states/eV/cell.

---

Most stable one: A, least stable one: B.